Here is crystalline TbCu2Ni3 at its relaxed geometry from Alexandria via LeMat-Bulk. Energies are from PBE.

a b c (Å): 4.9608 4.9608 3.9704
angles (deg): 90.00 90.00 120.00
Closest atoms and distances in Å follow each position.
Space group P6/mmm (No. 191)
One atom of each set of equivalent atoms:
Tb 0.0000 0.0000 0.0000  6 Cu 2.86, 12 Ni 3.18
Cu 0.3333 0.6667 0.0000  6 Ni 2.45
Ni 0.0000 0.5000 0.5000  4 Cu 2.45, 4 Ni 2.48

Results
Total magnetization (μB/atom): 0.0000
E_form (eV per atom): -0.29


Here is crystalline TbCu2Ni2 at its relaxed geometry from Alexandria via LeMat-Bulk. Energies are from PBE.

a b c (Å): 3.8231 3.8231 20.7484
angles (deg): 90.00 90.00 90.00
Closest atoms and distances in Å follow each position.
Space group I4/mmm (No. 139)
One atom of each set of equivalent atoms:
Tb 0.0000 0.0000 0.1259  8 Cu 2.94-3.24, 8 Ni 2.95-3.21
Cu 0.0000 0.0000 0.3188  5 Ni 2.32-2.39
Cu 0.0000 0.5000 0.0000  4 Ni 2.39
Ni 0.0000 0.0000 0.4307  5 Cu 2.32-2.39
Ni 0.0000 0.5000 0.2500  4 Cu 2.39

Results
Total magnetization (μB/atom): 0.0000
E_form (eV per atom): -0.19


Here is crystalline Tb5CuNi2 at its relaxed geometry from Alexandria via LeMat-Bulk. Energies are from PBE.

a b c (Å): 7.6376 7.6376 12.7755
angles (deg): 90.00 90.00 90.00
Closest atoms and distances in Å follow each position.
Space group I4/mcm (No. 140)
One atom of each set of equivalent atoms:
Tb 0.0000 0.0000 0.0000  4 Ni 3.02, 2 Cu 3.19, 8 Tb 3.37
Tb 0.1632 0.3368 0.1395  3 Ni 2.84-2.91
Cu 0.0000 0.0000 0.2500  10 Tb 3.19
Ni 0.1241 0.3759 0.5000  1 Ni 2.68, 6 Tb 2.84-2.91

Results
Total magnetization (μB/atom): 0.0000
E_form (eV per atom): -0.26


Here is crystalline Tb8Cu2Ni at its relaxed geometry from Alexandria via LeMat-Bulk. Energies are from PBE.

a b c (Å): 8.2893 13.0481 5.9659
angles (deg): 90.00 112.33 90.00
Closest atoms and distances in Å follow each position.
Space group Cm (No. 8)
One atom of each set of equivalent atoms:
Tb 0.0000 0.0000 0.0000  1 Ni 2.97, 2 Cu 3.10
Tb 0.0837 0.3714 0.8379  2 Cu 2.83-2.90, 1 Ni 2.93
Tb 0.1403 0.1282 0.5866  2 Cu 2.81-2.83, 1 Ni 2.95
Tb 0.2217 0.5000 0.3934  1 Ni 3.05, 2 Cu 3.05
Tb 0.3638 0.1927 0.2031  1 Ni 2.79
Cu 0.3543 0.3054 0.6913  6 Tb 2.81-3.10
Ni 0.3575 0.0000 0.9970  8 Tb 2.79-3.05

Results
Total magnetization (μB/atom): 0.0000
E_form (eV per atom): -0.01


Here is crystalline TbCu6Ni6 at its relaxed geometry from Alexandria via LeMat-Bulk. Energies are from PBE.

a b c (Å): 4.7725 8.3065 8.3190
angles (deg): 90.00 90.00 90.00
Closest atoms and distances in Å follow each position.
Space group Immm (No. 71)
One atom of each set of equivalent atoms:
Tb 0.0000 0.0000 0.0000  8 Cu 2.92-3.00, 12 Ni 3.02-3.17
Cu 0.0000 0.0000 0.3508  3 Cu 2.48-2.65, 6 Ni 2.54-2.61
Cu 0.0000 0.2815 0.5000  6 Ni 2.41-2.60, 4 Cu 2.64-2.65
Cu 0.0000 0.3540 0.0000  3 Cu 2.43-2.64, 6 Ni 2.55-2.60
Ni 0.0000 0.5000 0.2766  4 Ni 2.41, 6 Cu 2.60-2.61
Ni 0.2500 0.2500 0.2500  4 Ni 2.39-2.41, 6 Cu 2.41-2.55

Results
Total magnetization (μB/atom): 0.0000
E_form (eV per atom): -0.12


Here is crystalline Tb12Cu6Ni at its relaxed geometry from Alexandria via LeMat-Bulk. Energies are from PBE.

a b c (Å): 12.2437 12.2437 11.8538
angles (deg): 90.00 90.00 120.00
Closest atoms and distances in Å follow each position.
Space group R-3 (No. 148, hexagonal axes)
One atom of each set of equivalent atoms:
Tb 0.0254 0.2011 0.3907  3 Cu 2.75-2.91
Tb 0.0409 0.1963 0.8772  1 Ni 2.64, 2 Cu 2.80-2.92
Cu 0.0448 0.2735 0.6432  5 Tb 2.75-2.92
Ni 0.0000 0.0000 0.0000  6 Tb 2.64

Results
Total magnetization (μB/atom): 0.0000
E_form (eV per atom): 0.00


Here is crystalline Tb2CuNi at its relaxed geometry from Alexandria via LeMat-Bulk. Energies are from PBE.

a b c (Å): 3.8645 3.8645 25.7416
angles (deg): 90.00 90.00 120.00
Closest atoms and distances in Å follow each position.
Space group R-3m (No. 166, hexagonal axes)
One atom of each set of equivalent atoms:
Tb 0.0000 0.0000 0.1091  3 Ni 2.68, 1 Cu 2.81
Cu 0.0000 0.0000 0.0000  2 Tb 2.81
Ni 0.0000 0.0000 0.5000  6 Tb 2.68

Results
Total magnetization (μB/atom): 0.0000
E_form (eV per atom): 0.28


Here is crystalline TbCu2Ni6 at its relaxed geometry from Alexandria via LeMat-Bulk. Energies are from PBE.

a b c (Å): 10.4110 10.4110 10.4110
angles (deg): 90.00 90.00 90.00
Closest atoms and distances in Å follow each position.
Space group Fd-3m (No. 227, origin choice 2)
One atom of each set of equivalent atoms:
Tb 0.1250 0.1250 0.1250  6 Ni 2.54
Cu 0.0000 0.0000 0.5000  6 Ni 2.29
Ni 0.1191 0.3750 0.3750  2 Cu 2.29, 1 Tb 2.54

Results
Total magnetization (μB/atom): 0.1466
E_form (eV per atom): 0.55


Question: Which value of E_form does entry 6 give?
Answer: 0.00 eV per atom


Question: What is the formula in the third record?
Answer: Tb5CuNi2


Question: total magnetization of number 2 (TbCu2Ni2)?
Answer: 0.0000 μB/atom